Compound: ThGe2Au3
Source: Alexandria
Functional: PBE-GGA
Structure: relaxed

Cell and atoms, written as POSCAR:
```
ThGe2Au3
1.0
4.5650 0.0000 0.0000
-2.2825 8.1851 0.2298
0.0000 -3.4853 6.6179
Th Au Ge
2 6 4
direct
0.1438 0.2876 0.0788 Th
0.8562 0.7124 0.9212 Th
0.0483 0.0966 0.3707 Au
0.9517 0.9034 0.6293 Au
0.6387 0.2774 0.7758 Au
0.3161 0.6323 0.5774 Au
0.3613 0.7226 0.2242 Au
0.6839 0.3677 0.4226 Au
0.5088 0.0176 0.1750 Ge
0.1991 0.3982 0.7176 Ge
0.4912 0.9824 0.8250 Ge
0.8009 0.6018 0.2824 Ge
```

Output
The calculated volume is 20.911 A^3/atom. The density comes out at 12.8 g/cm3. As for the total energy: -4.8308 eV per atom.

Compound: TbNdMg2
Source: Alexandria
Functional: PBE-GGA
Structure: relaxed

Cell and atoms, written as POSCAR:
```
TbNdMg2
1.0
-3.6601 1.2333 -0.0191
-0.1987 -0.6728 -5.3737
-1.7192 -5.0913 0.7010
Mg Nd Tb
2 1 1
direct
0.0000 0.0000 0.5000 Mg
0.0000 0.5000 0.0000 Mg
0.5000 0.0000 0.0000 Nd
0.5000 0.5000 0.5000 Tb
```

Output
The calculated volume is 28.357 A^3/atom. The density comes out at 5.1 g/cm3. As for the total energy: -3.2457 eV per atom.

Compound: Pm12Si6Ni
Source: Alexandria
Functional: PBE-GGA
Structure: relaxed

Cell and atoms, written as POSCAR:
```
Pm12Si6Ni
1.0
8.4573 -0.0693 -0.0830
-1.3507 8.3490 -0.0830
-1.3507 -1.5736 8.1998
Pm Si Ni
12 6 1
direct
0.3188 0.0656 0.9573 Pm
0.4327 0.8148 0.5743 Pm
0.1852 0.4257 0.5673 Pm
0.8148 0.5743 0.4327 Pm
0.4257 0.5673 0.1852 Pm
0.0427 0.6812 0.9344 Pm
0.6812 0.9344 0.0427 Pm
0.9573 0.3188 0.0656 Pm
0.5743 0.4327 0.8148 Pm
0.0656 0.9573 0.3188 Pm
0.9344 0.0427 0.6812 Pm
0.5673 0.1852 0.4257 Pm
0.3030 0.1279 0.6199 Si
0.3801 0.6970 0.8721 Si
0.6199 0.3030 0.1279 Si
0.1279 0.6199 0.3030 Si
0.8721 0.3801 0.6970 Si
0.6970 0.8721 0.3801 Si
0.0000 0.0000 0.0000 Ni
```

Output
The calculated volume is 30.316 A^3/atom. As for the uncorrected formation energy: -369 meV/atom. The density comes out at 5.7 g/cm3.

Compound: GdThCo2
Source: Alexandria
Functional: PBE-GGA
Structure: relaxed

Cell and atoms, written as POSCAR:
```
GdThCo2
1.0
4.8242 0.0000 0.0000
2.4121 4.1779 0.0000
2.4121 1.3926 3.9390
Co Gd Th
2 1 1
direct
0.2500 0.2500 0.2500 Co
0.7500 0.7500 0.7500 Co
0.0000 0.0000 0.0000 Gd
0.5000 0.5000 0.5000 Th
```

Output
The calculated volume is 19.848 A^3/atom. The density comes out at 10.6 g/cm3. As for the total energy: -9.0445 eV per atom.